[1]
DFT (PBE) results for a relaxed YP3Au crystal.

Structure (POSCAR):
```
YP3Au
1.0
-2.9339 -3.7248 2.1885
4.1806 -3.1150 0.3029
1.0893 1.9222 4.7319
P Y Au
3 1 1
Direct
0.5000 0.0000 0.0000
0.0000 0.0000 0.5000
0.0000 0.5000 0.0000
0.0000 0.0000 0.0000
0.5000 0.5000 0.5000
```

Energy relative to the lowest polymorph listed for this composition = 0.627 eV per atom

---

[2]
DFT (PBE) results for a relaxed YPAu2 crystal.

Structure (POSCAR):
```
YPAu2
1.0
5.3186 -2.1590 -0.0506
5.3186 2.1590 -0.0506
4.4769 0.0000 3.5929
Au P Y
2 1 1
Direct
0.7258 0.7258 0.7258
0.2742 0.2742 0.2742
0.0000 0.0000 0.0000
0.5000 0.5000 0.5000
```

---

[3]
DFT (PBE) results for a relaxed Y2PAu crystal.

Structure (POSCAR):
```
Y2PAu
1.0
4.1090 0.0000 0.0000
0.0000 4.1090 0.0000
0.0000 0.0000 5.8569
P Y Au
1 2 1
Direct
0.5000 0.5000 0.5000
0.0000 0.0000 0.5000
0.5000 0.5000 0.0000
0.0000 0.0000 0.0000
```

---

[4]
DFT (PBE) results for a relaxed YPAu2 crystal.

Structure (POSCAR):
```
YPAu2
1.0
-3.0506 2.8535 -0.9348
-1.2222 -0.0917 3.7086
2.6303 3.6655 2.6051
Au Y P
2 1 1
Direct
0.0000 0.6604 0.2222
0.0000 0.3396 0.7778
0.5000 0.0000 0.5000
0.5000 0.5000 0.0000
```

---

[5]
DFT (PBE) results for a relaxed YPAu2 crystal.

Structure (POSCAR):
```
YPAu2
1.0
-0.9973 -1.4455 3.5528
2.2791 -3.1759 -0.6524
3.9636 2.4141 2.0949
P Y Au
1 1 2
Direct
0.5000 0.5000 0.5000
0.0000 0.0000 0.5000
0.0000 0.5000 0.0000
0.5000 0.0000 0.0000
```

---

[6]
DFT (PBE) results for a relaxed YPAu crystal.

Structure (POSCAR):
```
YPAu
1.0
-4.7188 0.1062 2.3678
-3.8883 2.8236 -2.1894
3.5428 -3.6134 -1.5090
Y P Au
1 1 1
Direct
0.6903 0.6903 0.0000
0.2986 0.2986 0.0000
0.0110 0.0110 0.0000
```

---

[7]
DFT (PBE) results for a relaxed YP3Au crystal.

Structure (POSCAR):
```
YP3Au
1.0
-4.1108 2.5095 0.2335
-0.6280 -0.5872 -4.7446
-2.4408 -4.0754 0.8275
P Au Y
3 1 1
Direct
0.0000 0.5000 0.0000
0.0000 0.0000 0.5000
0.5000 0.0000 0.0000
0.0000 0.0000 0.0000
0.5000 0.5000 0.5000
```

Energy relative to the lowest polymorph listed for this composition = 0.000 eV per atom

---

[8]
DFT (PBE) results for a relaxed YPAu crystal.

Structure (POSCAR):
```
YPAu
1.0
-4.3025 -1.6359 -0.9041
-1.2072 -4.3162 1.3852
-4.3443 0.8827 6.9074
P Au Y
2 2 2
Direct
0.2826 0.2826 0.1521
0.7174 0.7174 0.8479
0.1780 0.1780 0.4661
0.8220 0.8220 0.5339
0.4022 0.4022 0.7933
0.5978 0.5978 0.2067
```

---

[9]
DFT (PBE) results for a relaxed Y2PAu crystal.

Structure (POSCAR):
```
Y2PAu
1.0
0.0000 3.5414 3.5414
3.5414 0.0000 3.5414
3.5414 3.5414 0.0000
Y P Au
2 1 1
Direct
0.0000 0.0000 0.0000
0.2500 0.2500 0.2500
0.7500 0.7500 0.7500
0.5000 0.5000 0.5000
```

---

[10]
DFT (PBE) results for a relaxed Y2PAu crystal.

Structure (POSCAR):
```
Y2PAu
1.0
7.5442 -2.0387 -0.0029
7.5442 2.0387 -0.0029
6.9946 0.0000 3.4852
Y P Au
2 1 1
Direct
0.7788 0.7788 0.7788
0.9659 0.9659 0.9659
0.2350 0.2350 0.2350
0.5203 0.5203 0.5203
```

---

[11]
DFT (PBE) results for a relaxed YPAu2 crystal.

Structure (POSCAR):
```
YPAu2
1.0
-3.0859 -3.1550 1.1093
-0.4971 -1.2691 4.3416
-4.3125 1.7806 2.4150
Au P Y
2 1 1
Direct
0.2097 0.2097 0.3713
0.9888 0.9888 0.0329
0.5471 0.5471 0.3592
0.7544 0.7544 0.7366
```

---

[12]
DFT (PBE) results for a relaxed Y2PAu crystal.

Structure (POSCAR):
```
Y2PAu
1.0
-2.0650 1.9528 -6.8914
-6.6880 -3.0933 1.1275
-5.6712 2.7092 -1.5647
P Y Au
2 4 2
Direct
0.2500 0.7500 0.5000
0.5000 0.5000 0.0000
0.6081 0.1250 0.2500
0.1419 0.6250 0.2500
0.3750 0.3919 0.7500
0.8750 0.8581 0.7500
0.7500 0.2500 0.5000
0.0000 0.0000 0.0000
```

---

The energy of formation results, record by record, are as follows: 454, -173, -397, -224, -247, -188, 152, -210, -36, -227, -243, -314 kJ/mol of formula units.
The E results, record by record, are as follows: -4.25, -5.06, -6.43, -5.19, -5.25, -5.70, -4.88, -5.78, -5.50, -5.99, -5.24, -6.22 eV per atom.